{
  "formula": "IrSeBr",
  "functional": "GGA-PBEsol",
  "state": "relaxed",
  "cell": [[3.637, 0.000, 0.000], [-1.818, 3.149, 0.000], [0.000, 0.000, 5.911]],
  "species": ["Ir", "Br", "Se"],
  "fractional_positions": [[0.667, 0.333, 0.649], [0.000, 0.000, 0.909], [0.333, 0.667, 0.442]],
  "raw_formation_energy_ev_per_atom": -0.223
}